# CsRb2SrCu (PBE, relaxed)
data_CsRb2SrCu
_chemical_formula_sum 'Cs1 Rb2 Sr1 Cu1'
_space_group_name_H-M_alt 'P 4/m m m'
_space_group_IT_number 123
_space_group_name_Hall '-P 4 2'
_cell_length_a 7.946
_cell_length_b 7.946
_cell_length_c 6.073
_cell_angle_alpha 90.00
_cell_angle_beta 90.00
_cell_angle_gamma 90.00
loop_
_atom_site_label
_atom_site_fract_x
_atom_site_fract_y
_atom_site_fract_z
Cs1 0.000 0.000 0.000
Rb1 0.000 0.500 0.000
Sr1 0.500 0.500 0.500
Cu1 0.000 0.000 0.500
# Electronic total energy ... -1.103 eV per atom
# ΔE_f ... 0.610 eV per atom
# Total magnetic moment ... 0.0 μB/f.u.